# ReNi2BO (GGA+U, optimized geometry)
# Total energy in eV/atom: -5.0441
# D(E_F) in states/eV/f.u.: 1.952
# Calculated density in kg/m3: 10223
data_ReNi2BO
_chemical_formula_sum 'Re1 Ni2 B1 O1'
_space_group_name_H-M_alt 'P 4/m m m'
_space_group_IT_number 123
_space_group_name_Hall '-P 4 2'
_cell_length_a 3.535
_cell_length_b 3.535
_cell_length_c 4.295
_cell_angle_alpha 90.00
_cell_angle_beta 90.00
_cell_angle_gamma 90.00
loop_
_atom_site_label
_atom_site_type_symbol
_atom_site_fract_x
_atom_site_fract_y
_atom_site_fract_z
Re1 Re 0.000 0.000 0.000
Ni1 Ni 0.000 0.500 0.500
B1 B 0.500 0.500 0.000
O1 O 0.500 0.500 0.500